Below is a relaxed Pm2Ge3Pt4Rh crystal, with properties calculated at the PBE-GGA level.

Properties
Density ... 12.09 g/cm3
Fermi-level density of states ... 7.674 states/eV/cell
E_tot ... -63.06 eV for the cell shown
Symmetry ... P-4m2 (115)
Magnetization ... 0.000 Bohr magnetons per cell
ΔE_f ... -819.2 meV/atom

Geometry as POSCAR:
```
Pm2Ge3Pt4Rh
1.0
4.185 0.000 0.000
0.000 4.185 0.000
0.000 0.000 10.916
Pm Ge Pt Rh
2 3 4 1
Cartesian
2.092 0.000 2.789 Pm
0.000 2.092 8.126 Pm
0.000 0.000 5.458 Ge
2.092 0.000 9.478 Ge
0.000 2.092 1.438 Ge
2.092 2.092 0.000 Pt
0.000 0.000 0.000 Pt
2.092 0.000 7.061 Pt
0.000 2.092 3.854 Pt
2.092 2.092 5.458 Rh
```